1.
A plane-wave DFT calculation with PBE-GGA was carried out for an optimized crystal structure of Nb2GaAuS.

**E**: -4.982 eV/atom
**V**: 106.7 Å³/f.u.
**Space-group type**: No. 123

a = 4.8742 Å, b = 4.4933 Å, c = 4.8742 Å
α = 90.00°, β = 90.00°, γ = 90.00°
Closest atoms and distances in Å follow each position.
Positions (direct):
1 Nb 0.0000 0.0000 0.5000  2 Ga 2.44
2 Nb 0.5000 0.0000 0.0000  2 Ga 2.44
3 S 0.0000 0.5000 0.0000  2 Ga 2.25
4 Au 0.5000 0.5000 0.5000  8 Nb 3.31, 4 S 3.45
5 Ga 0.0000 0.0000 0.0000  2 S 2.25, 4 Nb 2.44

2.
A plane-wave DFT calculation with PBE-GGA was carried out for an optimized crystal structure of Er6InPd5.

**Energy of formation from the pure elements**: -0.82 eV per atom
**V**: 262.5 Å³/f.u.
**Space-group type**: No. 10

a = 4.9849 Å, b = 7.0028 Å, c = 7.9325 Å
α = 90.00°, β = 108.58°, γ = 90.00°
Closest atoms and distances in Å follow each position.
Positions (direct):
1 Pd 0.3345 0.5000 0.6654  8 Er 2.97-3.04
2 Pd 0.0000 0.5000 0.0000  8 Er 2.99-3.11
3 Pd 0.6655 0.5000 0.3346  8 Er 2.97-3.04
4 Pd 0.6520 0.0000 0.3089  8 Er 2.97-3.16
5 Pd 0.3480 0.0000 0.6911  8 Er 2.97-3.16
6 Er 0.5000 0.7358 0.0000  6 Pd 2.97-3.01, 2 In 3.10, 1 Er 3.30
7 Er 0.1712 0.2533 0.3439  7 Pd 2.97-3.16, 1 In 3.14
8 Er 0.8288 0.7467 0.6561  7 Pd 2.97-3.16, 1 In 3.14
9 Er 0.5000 0.2642 0.0000  6 Pd 2.97-3.01, 2 In 3.10, 1 Er 3.30
10 Er 0.1712 0.7467 0.3439  7 Pd 2.97-3.16, 1 In 3.14
11 Er 0.8288 0.2533 0.6561  7 Pd 2.97-3.16, 1 In 3.14
12 In 0.0000 0.0000 0.0000  8 Er 3.10-3.14, 4 Pd 3.39-3.42

3.
A plane-wave DFT calculation with PBE-GGA was carried out for an optimized crystal structure of Li4AlOs.

**Energy of formation from the pure elements**: 0.18 eV per atom
**V**: 76.4 Å³/f.u.
**Space-group type**: No. 216

a = 4.7638 Å, b = 4.7638 Å, c = 4.7638 Å
α = 60.00°, β = 60.00°, γ = 60.00°
Closest atoms and distances in Å follow each position.
Positions (direct):
1 Li 0.3769 0.3769 0.3769  6 Li 2.35-2.42
2 Li 0.8693 0.3769 0.3769  6 Li 2.35-2.42
3 Li 0.3769 0.8693 0.3769  6 Li 2.35-2.42
4 Li 0.3769 0.3769 0.8693  6 Li 2.35-2.42
5 Os 0.7500 0.7500 0.7500  12 Li 2.79, 4 Al 2.92
6 Al 0.0000 0.0000 0.0000  12 Li 2.80, 4 Os 2.92

4.
A plane-wave DFT calculation with PBE-GGA was carried out for an optimized crystal structure of LiTbLuCu.

**Energy of formation from the pure elements**: -0.05 eV per atom
**V**: 87.2 Å³/f.u.
**Space-group type**: No. 216

a = 4.9766 Å, b = 4.9766 Å, c = 4.9766 Å
α = 60.00°, β = 60.00°, γ = 60.00°
Closest atoms and distances in Å follow each position.
Positions (direct):
1 Cu 0.7500 0.7500 0.7500  4 Tb 3.05, 4 Lu 3.05
2 Li 0.2500 0.2500 0.2500  4 Tb 3.05, 4 Lu 3.05
3 Lu 0.5000 0.5000 0.5000  4 Cu 3.05, 4 Li 3.05
4 Tb 0.0000 0.0000 0.0000  4 Li 3.05, 4 Cu 3.05

5.
A plane-wave DFT calculation with PBE-GGA was carried out for an optimized crystal structure of RbCa2Au.

**Energy of formation from the pure elements**: -0.29 eV per atom
**V**: 187.3 Å³/f.u.
**Space-group type**: No. 166

a = 4.3280 Å, b = 4.3280 Å, c = 11.8127 Å
α = 79.44°, β = 79.44°, γ = 60.00°
Closest atoms and distances in Å follow each position.
Positions (direct):
1 Ca 0.1206 0.1206 0.6381  3 Au 2.96
2 Ca 0.8794 0.8794 0.3619  3 Au 2.96
3 Rb 0.0000 0.0000 0.0000  2 Ca 4.18, 6 Rb 4.33
4 Au 0.5000 0.5000 0.5000  6 Ca 2.96

6.
A plane-wave DFT calculation with PBE-GGA was carried out for an optimized crystal structure of Th2Zn2Hg3.

**Energy of formation from the pure elements**: -0.18 eV per atom
**V**: 167.6 Å³/f.u.
**Space-group type**: No. 12

a = 4.4755 Å, b = 6.0722 Å, c = 6.7008 Å
α = 97.45°, β = 90.00°, γ = 111.62°
Closest atoms and distances in Å follow each position.
Positions (direct):
1 Zn 0.0883 0.1766 0.6427  1 Zn 2.56, 3 Hg 2.72-2.81
2 Zn 0.9117 0.8234 0.3573  1 Zn 2.56, 3 Hg 2.72-2.81
3 Hg 0.6963 0.3925 0.8455  2 Zn 2.81
4 Hg 0.0000 0.0000 0.0000  2 Zn 2.72
5 Hg 0.3037 0.6075 0.1545  2 Zn 2.81
6 Th 0.3731 0.7463 0.6653  5 Zn 3.12-3.32, 6 Hg 3.34-3.47
7 Th 0.6269 0.2537 0.3347  5 Zn 3.12-3.32, 6 Hg 3.34-3.47

7.
A plane-wave DFT calculation with PBE-GGA was carried out for an optimized crystal structure of YAlSCl2.

**E**: -4.386 eV/atom
**V**: 108.9 Å³/f.u.
**Space-group type**: No. 123

a = 4.7487 Å, b = 4.7487 Å, c = 4.8293 Å
α = 90.00°, β = 90.00°, γ = 90.00°
Closest atoms and distances in Å follow each position.
Positions (direct):
1 Y 0.5000 0.5000 0.5000  4 S 3.36, 8 Cl 3.39
2 Al 0.0000 0.0000 0.0000  4 Cl 2.37, 2 S 2.41
3 Cl 0.5000 0.0000 0.0000  2 Al 2.37
4 Cl 0.0000 0.5000 0.0000  2 Al 2.37
5 S 0.0000 0.0000 0.5000  2 Al 2.41

8.
A plane-wave DFT calculation with PBE-GGA was carried out for an optimized crystal structure of B5C7.

**Energy of formation from the pure elements**: 0.39 eV per atom
**V**: 78.9 Å³/f.u.
**Space-group type**: No. 6

a = 2.5024 Å, b = 3.9525 Å, c = 7.9785 Å
α = 91.03°, β = 90.00°, γ = 90.00°
Closest atoms and distances in Å follow each position.
Positions (direct):
1 B 0.0000 0.2416 0.1952  1 C 1.55, 2 B 1.73
2 B 0.0000 0.9932 0.9731  3 C 1.61-1.63
3 B 0.5000 0.5323 0.1541  2 C 1.58-1.71, 2 B 1.73
4 B 0.0000 0.2099 0.5035  2 C 1.67-1.68, 2 B 1.80
5 B 0.5000 0.5375 0.5064  2 C 1.60
6 C 0.0000 0.9880 0.6808  3 C 1.53-1.60, 1 B 1.68
7 C 0.0000 0.2730 0.8256  3 C 1.54-1.60, 1 B 1.63
8 C 0.0000 0.9658 0.3311  2 C 1.51, 2 B 1.55-1.67
9 C 0.5000 0.4985 0.8292  4 C 1.54-1.64
10 C 0.5000 0.7391 0.9871  1 C 1.56, 3 B 1.58-1.61
11 C 0.5000 0.7549 0.3396  2 C 1.51, 1 B 1.60
12 C 0.5000 0.7664 0.6743  3 C 1.53-1.64, 1 B 1.60

9.
A plane-wave DFT calculation with PBE-GGA was carried out for an optimized crystal structure of LiRu2SI.

**E**: -4.199 eV/atom
**V**: 80.9 Å³/f.u.
**Space-group type**: No. 123

a = 4.5540 Å, b = 3.9028 Å, c = 4.5540 Å
α = 90.00°, β = 90.00°, γ = 90.00°
Closest atoms and distances in Å follow each position.
Positions (direct):
1 I 0.5000 0.5000 0.5000  8 Ru 3.00, 4 S 3.22
2 Ru 0.0000 0.0000 0.5000  2 Li 2.28
3 Ru 0.5000 0.0000 0.0000  2 Li 2.28
4 Li 0.0000 0.0000 0.0000  2 S 1.95
5 S 0.0000 0.5000 0.0000  2 Li 1.95

10.
A plane-wave DFT calculation with PBE-GGA was carried out for an optimized crystal structure of MnCu2Pb.

**Energy of formation from the pure elements**: 0.51 eV per atom
**V**: 72.9 Å³/f.u.
**Space-group type**: No. 122

a = 3.9823 Å, b = 3.9823 Å, c = 9.6118 Å
α = 78.04°, β = 78.04°, γ = 90.00°
Closest atoms and distances in Å follow each position.
Positions (direct):
1 Cu 0.3750 0.4217 0.7500  2 Cu 2.57, 2 Mn 2.63, 2 Pb 2.77
2 Cu 0.8750 0.8283 0.7500  2 Cu 2.57, 2 Mn 2.63, 2 Pb 2.77
3 Cu 0.5783 0.1250 0.2500  2 Cu 2.57, 2 Mn 2.63, 2 Pb 2.77
4 Cu 0.1717 0.6250 0.2500  2 Cu 2.57, 2 Mn 2.63, 2 Pb 2.77
5 Pb 0.7500 0.2500 0.5000  4 Cu 2.77, 4 Mn 2.82
6 Pb 0.0000 0.0000 0.0000  4 Cu 2.77, 4 Mn 2.82
7 Mn 0.5000 0.5000 0.0000  4 Cu 2.63, 4 Pb 2.82
8 Mn 0.2500 0.7500 0.5000  4 Cu 2.63, 4 Pb 2.82

11.
A plane-wave DFT calculation with PBE-GGA was carried out for an optimized crystal structure of TaAlPb2.

**Energy of formation from the pure elements**: 0.81 eV per atom
**V**: 95.7 Å³/f.u.
**Space-group type**: No. 216

a = 5.1343 Å, b = 5.1343 Å, c = 5.1343 Å
α = 60.00°, β = 60.00°, γ = 60.00°
Closest atoms and distances in Å follow each position.
Positions (direct):
1 Ta 0.7500 0.7500 0.7500  4 Pb 3.14, 4 Al 3.14
2 Al 0.5000 0.5000 0.5000  4 Pb 3.14, 4 Ta 3.14
3 Pb 0.0000 0.0000 0.0000  4 Ta 3.14, 4 Pb 3.14
4 Pb 0.2500 0.2500 0.2500  4 Pb 3.14, 4 Al 3.14

12.
A plane-wave DFT calculation with PBE-GGA was carried out for an optimized crystal structure of H2RuWI.

**E**: -5.232 eV/atom
**V**: 73.0 Å³/f.u.
**Space-group type**: No. 123

a = 3.8321 Å, b = 4.9717 Å, c = 3.8321 Å
α = 90.00°, β = 90.00°, γ = 90.00°
Closest atoms and distances in Å follow each position.
Positions (direct):
1 Ru 0.0000 0.5000 0.0000  2 W 2.49, 4 I 2.71
2 H 0.5000 0.0000 0.0000  2 W 1.92
3 H 0.0000 0.0000 0.5000  2 W 1.92
4 W 0.0000 0.0000 0.0000  4 H 1.92
5 I 0.5000 0.5000 0.5000  4 Ru 2.71

Question: V of number 10 (MnCu2Pb)?
Answer: 72.9 Å³/f.u.